Below is a relaxed structure of Ni17As6O32, with properties calculated at the GGA+U level.

Calculated values
Uncorrected energy (eV/cell): -294.9

Structure (POSCAR):
```
Ni17As6O32
1.0
9.9359 0.0000 0.0000
0.0000 6.0467 0.0000
-3.6725 0.0000 9.7414
Ni As O
17 6 32
direct
0.0000 0.0000 0.0000
0.9996 0.2580 0.2582
0.0004 0.2580 0.7418
0.9996 0.7420 0.2582
0.0004 0.7420 0.7418
0.2569 0.2568 0.5047
0.2569 0.7432 0.5047
0.2606 0.0000 0.7510
0.2646 0.2483 0.0048
0.2646 0.7517 0.0048
0.2688 0.5000 0.2558
0.7312 0.5000 0.7442
0.7354 0.2483 0.9952
0.7354 0.7517 0.9952
0.7394 0.0000 0.2490
0.7431 0.2568 0.4953
0.7431 0.7432 0.4953
0.0000 0.0000 0.5000
0.0000 0.5000 0.0000
0.4209 0.5000 0.8082
0.4249 0.0000 0.3108
0.5751 0.0000 0.6892
0.5791 0.5000 0.1918
0.1148 0.0000 0.3896
0.1153 0.2798 0.1107
0.1153 0.7202 0.1107
0.1156 0.5000 0.8908
0.1189 0.2119 0.6151
0.1189 0.7881 0.6151
0.1300 0.0000 0.8789
0.1412 0.5000 0.3670
0.3703 0.0000 0.1340
0.3712 0.2351 0.3706
0.3705 0.2629 0.8697
0.3705 0.7371 0.8697
0.3712 0.7649 0.3706
0.3716 0.5000 0.6332
0.3852 0.0000 0.6270
0.3880 0.5000 0.1272
0.6120 0.5000 0.8728
0.6148 0.0000 0.3730
0.6284 0.5000 0.3668
0.6288 0.2351 0.6294
0.6295 0.2629 0.1303
0.6295 0.7371 0.1303
0.6288 0.7649 0.6294
0.6297 0.0000 0.8660
0.8588 0.5000 0.6330
0.8700 0.0000 0.1211
0.8811 0.2119 0.3849
0.8811 0.7881 0.3849
0.8844 0.5000 0.1092
0.8852 0.0000 0.6104
0.8847 0.2798 0.8893
0.8847 0.7202 0.8893
```